A relaxed structure of Cu2IrW, computed with PBE-GGA.

abc: 4.936 4.936 4.936
angles: 144.71 128.18 64.25
Positions (direct):
Cu1 0.000 0.000 0.000
Cu2 0.778 0.278 0.500
Ir1 0.254 0.754 0.500
W1 0.522 0.522 0.000

Offset from the most stable computed form = 10.3 kJ/mol of atoms
Electronic total energy = -29.34 eV for the cell shown
Crystal system = orthorhombic
DFT formation energy = 65 kJ/mol of formula units
Symmetry = Imm2, No. 44